Entry 1:
{"formula": "CePdCl6", "functional": "PBE", "state": "optimized geometry", "polymorph_energy_mev_per_atom": 15, "spacegroup": "No. 12", "e_form_raw_ev_per_atom": -1.31, "lattice": [[3.4343, -5.9387, 0.0000], [3.4343, 5.9387, 0.0000], [-0.0650, 0.0000, 6.5349]], "species": ["Ce", "Pd", "Cl", "Cl", "Cl", "Cl", "Cl", "Cl"], "fractional_positions": [[0.0000, 0.0000, 0.0000], [0.0000, 0.0000, 0.5000], [0.9999, 0.2937, 0.7363], [0.0001, 0.7063, 0.2637], [0.2933, 0.2933, 0.2681], [0.2937, 0.9999, 0.7363], [0.7063, 0.0001, 0.2637], [0.7067, 0.7067, 0.7319]]}

=====

Entry 2:
{"formula": "ReSbP2", "functional": "PBE", "state": "optimized geometry", "spacegroup": "No. 123", "e_form_raw_ev_per_atom": 0.11, "lattice": [[3.0096, 0.0000, 0.0000], [0.0000, 3.0096, 0.0000], [0.0000, 0.0000, 7.9151]], "species": ["Re", "Sb", "P", "P"], "fractional_positions": [[0.0000, 0.0000, 0.0000], [0.0000, 0.0000, 0.5000], [0.5000, 0.5000, 0.1761], [0.5000, 0.5000, 0.8239]]}

=====

Entry 3:
{"formula": "Pm2MgZn4", "functional": "PBE", "state": "optimized geometry", "delta_e_f_mev_per_atom": 101, "polymorph_energy_mev_per_atom": 228, "spacegroup": "No. 139", "lattice": [[-2.3784, 2.3784, 7.7342], [2.3784, -2.3784, 7.7342], [2.3784, 2.3784, -7.7342]], "species": ["Pm", "Pm", "Mg", "Zn", "Zn", "Zn", "Zn"], "fractional_positions": [[0.1330, 0.1330, 0.0000], [0.8670, 0.8670, 0.0000], [0.5000, 0.5000, 0.0000], [0.0000, 0.5000, 0.5000], [0.3270, 0.3270, 0.0000], [0.5000, 0.0000, 0.5000], [0.6730, 0.6730, 0.0000]]}

=====

Entry 4:
{"formula": "Tb2Pr3YTm6", "functional": "PBE", "state": "optimized geometry", "delta_e_f_mev_per_atom": 24, "spacegroup": "No. 12", "lattice": [[3.0954, -5.3585, 0.0000], [3.0954, 5.3585, 0.0000], [-2.0564, 0.0000, 11.5452]], "species": ["Tb", "Tb", "Pr", "Pr", "Pr", "Y", "Tm", "Tm", "Tm", "Tm", "Tm", "Tm"], "fractional_positions": [[0.1666, 0.8334, 0.0000], [0.8334, 0.1666, 0.0000], [0.0000, 0.0000, 0.5000], [0.3333, 0.6667, 0.5000], [0.6667, 0.3333, 0.5000], [0.5000, 0.5000, 0.0000], [0.0836, 0.4177, 0.7536], [0.2482, 0.2482, 0.2465], [0.4177, 0.0836, 0.7536], [0.5823, 0.9164, 0.2464], [0.7518, 0.7518, 0.7535], [0.9164, 0.5823, 0.2464]]}

=====

Entry 5:
{"formula": "TcP2AuS", "functional": "PBE", "state": "optimized geometry", "polymorph_energy_mev_per_atom": 0, "spacegroup": "No. 123", "e_form_raw_ev_per_atom": 0.62, "lattice": [[4.7269, 0.0000, 0.0000], [0.0000, 4.7269, 0.0000], [0.0000, 0.0000, 4.4230]], "species": ["Tc", "P", "P", "Au", "S"], "fractional_positions": [[0.0000, 0.0000, 0.0000], [0.0000, 0.5000, 0.0000], [0.5000, 0.0000, 0.0000], [0.5000, 0.5000, 0.5000], [0.0000, 0.0000, 0.5000]]}

=====

Entry 6:
{"formula": "KCr2Co", "functional": "PBE", "state": "optimized geometry", "delta_e_f_mev_per_atom": 1516, "polymorph_energy_mev_per_atom": 759, "spacegroup": "No. 225", "lattice": [[0.0000, 3.3898, 3.3898], [3.3898, 0.0000, 3.3898], [3.3898, 3.3898, 0.0000]], "species": ["K", "Cr", "Cr", "Co"], "fractional_positions": [[0.0000, 0.0000, 0.0000], [0.2500, 0.2500, 0.2500], [0.7500, 0.7500, 0.7500], [0.5000, 0.5000, 0.5000]]}

=====

How do the records compare in density of states at the Fermi level? In the order shown, they have 0.25; 0.40; 0.88; 1.27; 0.78; 2.19 states/eV/atom.